(1)
# Nd2TmAlO | Alexandria | PBE | relaxed
data_Nd2TmAlO
_space_group_name_H-M_alt 'P 4/m m m'
_space_group_IT_number 123
_space_group_name_Hall '-P 4 2'
_cell_length_a 4.9806
_cell_length_b 4.9806
_cell_length_c 4.5911
_cell_angle_alpha 90.00
_cell_angle_beta 90.00
_cell_angle_gamma 90.00
loop_
_atom_site_label
_atom_site_type_symbol
_atom_site_fract_x
_atom_site_fract_y
_atom_site_fract_z
Nd1 Nd 0.0000 0.5000 0.0000
Tm1 Tm 0.0000 0.0000 0.5000
Al1 Al 0.5000 0.5000 0.5000
O1 O 0.0000 0.0000 0.0000
# Mass density   7296 kg/m³
# D(E_F)   2.72 states/eV per cell
# Raw total energy   -29.3 eV per cell

***

(2)
# NdUAl2O8 | Alexandria | PBE | relaxed
data_NdUAl2O8
_space_group_name_H-M_alt 'P -1'
_space_group_IT_number 2
_cell_length_a 4.6661
_cell_length_b 4.7074
_cell_length_c 7.1418
_cell_angle_alpha 87.15
_cell_angle_beta 87.65
_cell_angle_gamma 86.17
loop_
_space_group_symop_operation_xyz
'x,y,z'
'-x,-y,-z'
loop_
_atom_site_label
_atom_site_type_symbol
_atom_site_fract_x
_atom_site_fract_y
_atom_site_fract_z
Nd1 Nd 0.0000 0.0000 0.0000
U1 U 0.0000 0.0000 0.5000
Al1 Al 0.4701 0.4689 0.7020
O1 O 0.2040 0.7888 0.2829
O2 O 0.2052 0.7863 0.7202
O3 O 0.3201 0.3138 0.4926
O4 O 0.3508 0.3346 0.9367
# Mass density   5998 kg/m³
# D(E_F)   2.13 states/eV per cell
# Raw total energy   -96.8 eV per cell

***

(3)
# NdUAlO6 | Alexandria | PBE | relaxed
data_NdUAlO6
_space_group_name_H-M_alt 'P -3 1 c'
_space_group_IT_number 163
_space_group_name_Hall '-P 3 2c'
_cell_length_a 5.3168
_cell_length_b 5.3168
_cell_length_c 10.1922
_cell_angle_alpha 90.00
_cell_angle_beta 90.00
_cell_angle_gamma 120.00
loop_
_atom_site_label
_atom_site_type_symbol
_atom_site_fract_x
_atom_site_fract_y
_atom_site_fract_z
Nd1 Nd 0.0000 0.0000 0.0000
U1 U 0.3333 0.6667 0.2500
Al1 Al 0.3333 0.6667 0.7500
O1 O 0.0213 0.3722 0.6436
# Mass density   6725 kg/m³
# D(E_F)   0.00 states/eV per cell
# Raw total energy   -155.7 eV per cell